Computed, not measured: a relaxed structure of CsAl3Cu at the GGA-PBEsol level of DFT.

Total magnetization in μB per atom: 0.00
Total energy in eV for the cell shown: -15.47
SG: Pm-3m (221)

a = 4.882 Å, b = 4.882 Å, c = 4.882 Å
α = 90.00°, β = 90.00°, γ = 90.00°
Positions (direct):
1 Cs 0.500 0.500 0.500
2 Al 0.000 0.500 0.000
3 Al 0.000 0.000 0.500
4 Al 0.500 0.000 0.000
5 Cu 0.000 0.000 0.000